(A)
A relaxed structure of Y2Hg2O5, computed with PBE.

total magnetization	0.00	μB per cell

a = 3.587 Å, b = 7.920 Å, c = 11.397 Å
α = 98.15°, β = 90.87°, γ = 93.45°
Fractional coordinates of all 18 atoms:
Y: 0.220 0.177 0.315
Y: 0.259 0.608 0.893
Y: 0.741 0.392 0.107
Y: 0.780 0.823 0.685
Hg: 0.253 0.632 0.392
Hg: 0.367 0.159 0.835
Hg: 0.633 0.841 0.165
Hg: 0.747 0.368 0.608
O: 0.189 0.892 0.290
O: 0.225 0.350 0.980
O: 0.254 0.457 0.237
O: 0.263 0.749 0.563
O: 0.287 0.842 0.813
O: 0.713 0.158 0.187
O: 0.737 0.251 0.437
O: 0.746 0.543 0.763
O: 0.775 0.650 0.020
O: 0.811 0.108 0.710

=====

(B)
A relaxed structure of Y2Hg2O5, computed with PBE.

total magnetization	0.00	μB per cell

a = 11.921 Å, b = 3.590 Å, c = 13.276 Å
α = 90.00°, β = 90.00°, γ = 90.00°
Fractional coordinates of all 36 atoms:
Y: 0.034 0.249 0.000
Y: 0.216 0.250 0.671
Y: 0.284 0.750 0.171
Y: 0.466 0.749 0.500
Y: 0.534 0.251 0.000
Y: 0.716 0.250 0.671
Y: 0.784 0.750 0.171
Y: 0.966 0.751 0.500
Hg: 0.003 0.251 0.270
Hg: 0.246 0.249 0.401
Hg: 0.254 0.749 0.901
Hg: 0.497 0.751 0.770
Hg: 0.503 0.249 0.270
Hg: 0.746 0.251 0.401
Hg: 0.754 0.751 0.901
Hg: 0.997 0.749 0.770
O: 0.060 0.250 0.438
O: 0.098 0.750 0.625
O: 0.125 0.250 0.836
O: 0.152 0.750 0.046
O: 0.190 0.250 0.234
O: 0.310 0.750 0.734
O: 0.348 0.250 0.546
O: 0.375 0.750 0.336
O: 0.402 0.250 0.125
O: 0.440 0.750 0.938
O: 0.560 0.250 0.438
O: 0.598 0.750 0.625
O: 0.625 0.250 0.836
O: 0.652 0.750 0.046
O: 0.690 0.250 0.234
O: 0.810 0.750 0.734
O: 0.848 0.250 0.546
O: 0.875 0.750 0.336
O: 0.902 0.250 0.125
O: 0.940 0.750 0.938

=====

Among the structures above, stability is smallest for (B).